[1]
Density functional theory data (SCAN) for a crystal of CaAs relaxed with PBEsol.

POSCAR file:
```
CaAs
1.0
5.8310 0.0000 0.0000
0.0000 7.8032 0.0000
0.0000 -3.9016 6.7578
As Ca
6 6
direct
0.7147 0.0000 0.0000 As
0.2853 0.0000 0.0000 As
0.7786 0.3333 0.6667 As
0.2214 0.3333 0.6667 As
0.2214 0.6667 0.3333 As
0.7786 0.6667 0.3333 As
0.0000 0.6823 0.0000 Ca
0.0000 0.0000 0.6823 Ca
0.0000 0.3177 0.3177 Ca
0.5000 0.3498 0.0000 Ca
0.5000 0.0000 0.3498 Ca
0.5000 0.6502 0.6502 Ca
```

Computed properties:
The formation energy comes out at -1.247 eV per atom. Its density of states at the Fermi level is 0.110 states/eV/f.u. For the total energy, the calculation gives -32.35 eV/f.u. For the density, the calculation gives 3.73 g cm⁻³. The calculation puts the spin magnetization at 0.00 μB/f.u.

[2]
Density functional theory data (SCAN) for a crystal of Ca4As3 relaxed with PBEsol.

POSCAR file:
```
Ca4As3
1.0
10.3099 0.0000 0.0000
0.0000 11.4055 0.0000
0.0000 0.0000 11.9243
Ca As
32 24
direct
0.2712 0.5926 0.2646 Ca
0.2712 0.4074 0.7354 Ca
0.7288 0.0926 0.2354 Ca
0.7288 0.9074 0.7646 Ca
0.7288 0.4074 0.7354 Ca
0.7288 0.5926 0.2646 Ca
0.2712 0.9074 0.7646 Ca
0.2712 0.0926 0.2354 Ca
0.3232 0.8225 0.0653 Ca
0.3232 0.1775 0.9347 Ca
0.6768 0.3225 0.4347 Ca
0.6768 0.6775 0.5653 Ca
0.6768 0.1775 0.9347 Ca
0.6768 0.8225 0.0653 Ca
0.3232 0.6775 0.5653 Ca
0.3232 0.3225 0.4347 Ca
0.5000 0.8723 0.3602 Ca
0.5000 0.1277 0.6398 Ca
0.5000 0.3723 0.1398 Ca
0.5000 0.6277 0.8602 Ca
0.0000 0.7260 0.4239 Ca
0.0000 0.2740 0.5761 Ca
0.0000 0.2260 0.0761 Ca
0.0000 0.7740 0.9239 Ca
0.0000 0.8991 0.2073 Ca
0.0000 0.1009 0.7927 Ca
0.0000 0.3991 0.2927 Ca
0.0000 0.6009 0.7073 Ca
0.1872 0.5000 0.0000 Ca
0.8128 0.0000 0.5000 Ca
0.8128 0.5000 0.0000 Ca
0.1872 0.0000 0.5000 Ca
0.2332 0.8361 0.3235 As
0.2332 0.1639 0.6765 As
0.7668 0.3361 0.1765 As
0.7668 0.6639 0.8235 As
0.7668 0.1639 0.6765 As
0.7668 0.8361 0.3235 As
0.2332 0.6639 0.8235 As
0.2332 0.3361 0.1765 As
0.5000 0.5388 0.4007 As
0.5000 0.4612 0.5993 As
0.5000 0.0388 0.0993 As
0.5000 0.9612 0.9007 As
0.5000 0.6339 0.1142 As
0.5000 0.3661 0.8858 As
0.5000 0.1339 0.3858 As
0.5000 0.8661 0.6142 As
0.0000 0.6388 0.1443 As
0.0000 0.3612 0.8557 As
0.0000 0.1388 0.3557 As
0.0000 0.8612 0.6443 As
0.1228 0.5000 0.5000 As
0.8772 0.0000 0.0000 As
0.8772 0.5000 0.5000 As
0.1228 0.0000 0.0000 As
```

Computed properties:
The formation energy comes out at -1.314 eV per atom. For the total energy, the calculation gives -108.43 eV/f.u. For the density, the calculation gives 3.65 g cm⁻³. The calculation puts the spin magnetization at 0.00 μB/f.u.

[3]
Density functional theory data (SCAN) for a crystal of CaAs relaxed with PBEsol.

POSCAR file:
```
CaAs
1.0
-2.7555 3.9741 -1.4442
-4.4609 -0.7068 -2.2522
-4.2681 1.1333 2.4434
As Ca
2 2
direct
0.5000 0.5000 0.5000 As
0.7500 0.7500 0.7500 As
0.0000 0.0000 0.0000 Ca
0.2500 0.2500 0.2500 Ca
```

Computed properties:
The formation energy comes out at -0.323 eV per atom. Its density of states at the Fermi level is 1.674 states/eV/f.u. For the total energy, the calculation gives -30.50 eV/f.u. For the density, the calculation gives 4.20 g cm⁻³. The calculation puts the spin magnetization at 0.00 μB/f.u.

[4]
Density functional theory data (SCAN) for a crystal of Ca3As relaxed with PBEsol.

POSCAR file:
```
Ca3As
1.0
-0.9454 -2.0609 3.3050
1.4293 -5.7823 -3.1968
9.0433 0.5989 2.9601
As Ca
2 6
direct
0.0000 0.0000 0.6730 As
0.5000 0.5000 0.3270 As
0.5000 0.0000 0.4545 Ca
0.0000 0.5000 0.5455 Ca
0.0000 0.7402 0.1709 Ca
0.0000 0.2598 0.1709 Ca
0.5000 0.2402 0.8291 Ca
0.5000 0.7598 0.8291 Ca
```

Computed properties:
The formation energy comes out at -0.685 eV per atom. Its density of states at the Fermi level is 1.183 states/eV/f.u. For the total energy, the calculation gives -51.92 eV/f.u. For the density, the calculation gives 2.51 g cm⁻³. The offset from the most stable computed form is 0 meV/atom. The calculation puts the spin magnetization at 0.92 μB/f.u.

[5]
Density functional theory data (SCAN) for a crystal of Ca2As3 relaxed with PBEsol.

POSCAR file:
```
Ca2As3
1.0
5.7638 0.0000 0.0000
0.0000 11.8254 0.0250
0.0000 -0.1602 13.5244
As Ca
24 16
direct
0.4532 0.2331 0.1575 As
0.4532 0.2669 0.3425 As
0.5468 0.7669 0.8425 As
0.5468 0.7331 0.6575 As
0.2643 0.8663 0.5770 As
0.2643 0.6337 0.9230 As
0.7357 0.1337 0.4230 As
0.7357 0.3663 0.0770 As
0.5991 0.2867 0.8369 As
0.5991 0.2133 0.6631 As
0.4009 0.7133 0.1631 As
0.4009 0.7867 0.3369 As
0.9480 0.5144 0.6678 As
0.9480 0.9856 0.8322 As
0.0520 0.4856 0.3322 As
0.0520 0.0144 0.1678 As
0.7712 0.8870 0.0763 As
0.7712 0.6130 0.4237 As
0.2288 0.1130 0.9237 As
0.2288 0.3870 0.5763 As
0.9029 0.4531 0.8452 As
0.9029 0.0469 0.6548 As
0.0971 0.5469 0.1548 As
0.0971 0.9531 0.3452 As
0.7531 0.6249 0.0019 Ca
0.7531 0.8751 0.4981 Ca
0.2469 0.3751 0.9981 Ca
0.2469 0.1249 0.5019 Ca
0.7418 0.3752 0.5065 Ca
0.7418 0.1248 0.9935 Ca
0.2582 0.6248 0.4935 Ca
0.2582 0.8752 0.0065 Ca
0.4508 0.9927 0.7516 Ca
0.4508 0.5073 0.7484 Ca
0.5492 0.0073 0.2484 Ca
0.5492 0.4927 0.2516 Ca
0.0366 0.7500 0.7500 Ca
0.9634 0.2500 0.2500 Ca
0.0843 0.2500 0.7500 Ca
0.9157 0.7500 0.2500 Ca
```

Computed properties:
The formation energy comes out at -1.004 eV per atom. Its density of states at the Fermi level is 0.040 states/eV/f.u. For the total energy, the calculation gives -84.92 eV/f.u. For the density, the calculation gives 4.39 g cm⁻³. The calculation puts the spin magnetization at 0.00 μB/f.u.

[6]
Density functional theory data (SCAN) for a crystal of Ca3As relaxed with PBEsol.

POSCAR file:
```
Ca3As
1.0
4.6279 0.0000 0.0000
0.0000 4.6279 0.0000
-2.3139 -2.3139 10.7923
As Ca
2 6
direct
0.6012 0.6012 0.2025 As
0.3988 0.3988 0.7975 As
0.0000 0.5000 0.0000 Ca
0.5000 0.0000 0.0000 Ca
0.7500 0.2500 0.5000 Ca
0.2500 0.7500 0.5000 Ca
0.8797 0.8797 0.7594 Ca
0.1203 0.1203 0.2406 Ca
```

Computed properties:
The formation energy comes out at -0.527 eV per atom. Its density of states at the Fermi level is 1.013 states/eV/f.u. For the total energy, the calculation gives -51.29 eV/f.u. For the density, the calculation gives 2.80 g cm⁻³. The offset from the most stable computed form is 158 meV/atom. The calculation puts the spin magnetization at 0.00 μB/f.u.

[7]
Density functional theory data (SCAN) for a crystal of Ca2As relaxed with PBEsol.

POSCAR file:
```
Ca2As
1.0
-2.6357 -2.9683 0.2144
-0.9049 -2.3584 -6.9199
3.8591 -6.2143 -1.7372
As Ca
2 4
direct
0.0896 0.5804 0.2404 As
0.9104 0.4196 0.7596 As
0.3941 0.7274 0.4843 Ca
0.6646 0.7294 0.9413 Ca
0.3354 0.2706 0.0587 Ca
0.6059 0.2726 0.5157 Ca
```

Computed properties:
The formation energy comes out at -0.866 eV per atom. Its density of states at the Fermi level is 0.889 states/eV/f.u. For the total energy, the calculation gives -42.12 eV/f.u. For the density, the calculation gives 2.72 g cm⁻³. The offset from the most stable computed form is 200 meV/atom. The calculation puts the spin magnetization at 0.00 μB/f.u.

[8]
Density functional theory data (SCAN) for a crystal of Ca2CdAs relaxed with PBEsol.

POSCAR file:
```
Ca2CdAs
1.0
-4.1265 3.1846 -0.1657
0.2541 -4.1044 -3.1435
-3.1728 -4.0730 0.7355
As Ca Cd
1 2 1
direct
0.5000 0.0000 0.5000 As
0.2500 0.5000 0.2500 Ca
0.7500 0.5000 0.7500 Ca
0.0000 0.0000 0.0000 Cd
```

Computed properties:
The formation energy comes out at -0.687 eV per atom. Its density of states at the Fermi level is 2.584 states/eV/f.u. For the total energy, the calculation gives -72.68 eV/f.u. For the density, the calculation gives 4.50 g cm⁻³. The offset from the most stable computed form is 0 meV/atom. The calculation puts the spin magnetization at 0.00 μB/f.u.

[9]
Density functional theory data (SCAN) for a crystal of CaCd2As2 relaxed with PBEsol.

POSCAR file:
```
CaCd2As2
1.0
4.3732 0.0000 0.0000
-2.1866 3.7873 0.0000
0.0000 0.0000 7.0767
As Ca Cd
2 1 2
direct
0.6667 0.3333 0.7660 As
0.3333 0.6667 0.2340 As
0.0000 0.0000 0.0000 Ca
0.6667 0.3333 0.3663 Cd
0.3333 0.6667 0.6337 Cd
```

Computed properties:
The formation energy comes out at -0.691 eV per atom. For the total energy, the calculation gives -114.33 eV/f.u. For the density, the calculation gives 5.88 g cm⁻³. The calculation puts the spin magnetization at 0.00 μB/f.u.

[10]
Density functional theory data (SCAN) for a crystal of Ca2CdAs relaxed with PBEsol.

POSCAR file:
```
Ca2CdAs
1.0
-0.2152 -4.6820 -2.3647
0.8582 -4.3791 2.7652
-3.9705 -3.2779 1.0244
As Ca Cd
1 2 1
direct
0.5000 0.5000 0.5000 As
0.0000 0.0000 0.0000 Ca
0.7500 0.7500 0.7500 Ca
0.2500 0.2500 0.2500 Cd
```

Computed properties:
The formation energy comes out at -0.207 eV per atom. Its density of states at the Fermi level is 2.211 states/eV/f.u. For the total energy, the calculation gives -70.76 eV/f.u. For the density, the calculation gives 4.34 g cm⁻³. The offset from the most stable computed form is 480 meV/atom. The calculation puts the spin magnetization at 0.00 μB/f.u.

What is the formula in the first record?
CaAs

Which value of density does entry 2 give?
3.65 g cm⁻³